# 1
Compound: Th3Ga2C
Source: Alexandria via LeMat-Bulk
Functional: GGA-PBE
Structure: relaxed

Cell lengths 7.754, 7.754, 7.341 Å; angles 103.65, 103.65, 44.26 degrees
Positions (direct):
Th 0.013 0.987 0.750
Th 0.370 0.373 0.436
Th 0.373 0.370 0.936
Th 0.627 0.630 0.064
Th 0.630 0.627 0.564
Th 0.987 0.013 0.250
Ga 0.184 0.188 0.094
Ga 0.188 0.184 0.594
Ga 0.812 0.816 0.406
Ga 0.816 0.812 0.906
C 0.475 0.525 0.750
C 0.525 0.475 0.250

## Properties
DOS at the Fermi energy = 11.43 states/eV per cell
Volume = 298 Å³/cell
Symmetry = C2/c, No. 15
E_tot = -6.50 eV/atom



# 2
Compound: POsN2
Source: Alexandria via LeMat-Bulk
Functional: GGA-PBE
Structure: relaxed

Cell lengths 6.648, 6.648, 6.648 Å; angles 156.35, 156.35, 33.69 degrees
Positions (direct):
P 0.000 0.000 0.000
Os 0.250 0.750 0.500
N 0.138 0.138 0.000
N 0.862 0.862 0.000

## Properties
DOS at the Fermi energy = 1.80 states/eV per cell
Volume = 47 Å³/cell
Symmetry = I-4m2, No. 119
E_tot = -7.65 eV/atom



# 3
Compound: Zn2WN2
Source: Alexandria via LeMat-Bulk
Functional: GGA-PBE
Structure: relaxed

Cell lengths 5.655, 5.655, 6.246 Å; angles 114.51, 114.51, 53.61 degrees
Positions (direct):
Zn 0.068 0.068 0.331
Zn 0.291 0.291 0.275
Zn 0.709 0.709 0.725
Zn 0.932 0.932 0.669
W 0.344 0.344 0.823
W 0.656 0.656 0.177
N 0.141 0.141 0.724
N 0.446 0.446 0.165
N 0.554 0.554 0.835
N 0.859 0.859 0.276

## Properties
DOS at the Fermi energy = 2.05 states/eV per cell
Volume = 142 Å³/cell
Symmetry = C2/m, No. 12
Polymorph energy (0 for the lowest one) = 0.000 eV per atom
E_tot = -6.18 eV/atom



# 4
Compound: ZnSbTeN2
Source: Alexandria via LeMat-Bulk
Functional: GGA-PBE
Structure: relaxed

Cell lengths 4.009, 4.009, 6.494 Å; angles 90.00, 90.00, 90.00 degrees
Positions (direct):
Zn 0.000 0.000 0.000
Sb 0.500 0.500 0.500
Te 0.500 0.500 0.000
N 0.000 0.500 0.500
N 0.500 0.000 0.500

## Properties
DOS at the Fermi energy = 2.98 states/eV per cell
Volume = 104 Å³/cell
Symmetry = P4/mmm, No. 123
Polymorph energy (0 for the lowest one) = 0.000 eV per atom
E_tot = -3.90 eV/atom



# 5
Compound: Tb4Ho8Sc
Source: Alexandria via LeMat-Bulk
Functional: GGA-PBE
Structure: relaxed

Cell lengths 9.583, 9.583, 9.583 Å; angles 45.48, 45.48, 45.48 degrees
Positions (direct):
Tb 0.000 0.000 0.000
Tb 0.000 0.500 0.500
Tb 0.500 0.000 0.500
Tb 0.500 0.500 0.000
Ho 0.184 0.746 0.746
Ho 0.221 0.221 0.221
Ho 0.254 0.254 0.816
Ho 0.254 0.816 0.254
Ho 0.746 0.184 0.746
Ho 0.746 0.746 0.184
Ho 0.779 0.779 0.779
Ho 0.816 0.254 0.254
Sc 0.500 0.500 0.500

## Properties
DOS at the Fermi energy = 18.62 states/eV per cell
Volume = 408 Å³/cell
Symmetry = R-3m, No. 166
E_tot = -4.54 eV/atom



# 6
Compound: SiSN
Source: Alexandria via LeMat-Bulk
Functional: GGA-PBE
Structure: relaxed

Cell lengths 4.293, 4.293, 3.058 Å; angles 109.04, 109.04, 61.05 degrees
Positions (direct):
Si 0.000 0.000 0.000
S 0.384 0.384 0.978
N 0.139 0.139 0.627

## Properties
DOS at the Fermi energy = 0.19 states/eV per cell
Volume = 46 Å³/cell
Symmetry = Cm, No. 8
Polymorph energy (0 for the lowest one) = 0.664 eV per atom
E_tot = -5.79 eV/atom